Record 1
An optimized crystal structure of Ho9TmSc2, computed with PBE-GGA.

Cell: 4.921 4.921 14.744 Å, 90.00 90.00 90.00°
Element x y z (fractional)
Ho: 0.500 0.000 0.170
Ho: 0.500 0.500 0.665
Ho: 0.500 0.000 0.830
Ho: 0.000 0.500 0.170
Ho: 0.000 0.500 0.500
Ho: 0.500 0.500 0.335
Ho: 0.000 0.500 0.830
Ho: 0.500 0.500 0.000
Ho: 0.500 0.000 0.500
Tm: 0.000 0.000 0.000
Sc: 0.000 0.000 0.665
Sc: 0.000 0.000 0.335

Values from the calculation:
- Crystal system: tetragonal
- VASP energy: -57.9 eV for the cell shown
- E_form: 0.04 eV per atom

---

Record 2
An optimized crystal structure of LaPr5Cu6, computed with PBE-GGA.

Cell: 5.153 7.203 8.894 Å, 66.11 73.12 90.00°
Element x y z (fractional)
Cu: 0.500 0.254 0.000
Cu: 0.834 0.085 0.336
Cu: 0.166 0.915 0.664
Cu: 0.834 0.579 0.336
Cu: 0.500 0.746 0.000
Cu: 0.166 0.421 0.664
La: 0.000 0.000 0.000
Pr: 0.000 0.500 0.000
Pr: 0.666 0.667 0.666
Pr: 0.665 0.166 0.668
Pr: 0.334 0.333 0.334
Pr: 0.335 0.834 0.332

Values from the calculation:
- Crystal system: monoclinic
- VASP energy: -54.8 eV for the cell shown
- E_form: -0.12 eV per atom

---

Record 3
An optimized crystal structure of Tb2Pr2SmTm, computed with PBE-GGA.

Cell: 5.698 7.073 9.872 Å, 90.00 90.00 90.00°
Element x y z (fractional)
Tb: 0.500 0.758 0.669
Tb: 0.500 0.258 0.331
Tb: 0.000 0.758 0.164
Tb: 0.000 0.258 0.836
Pr: 0.500 0.008 0.000
Pr: 0.000 0.757 0.821
Pr: 0.500 0.508 0.000
Pr: 0.000 0.257 0.179
Sm: 0.500 0.758 0.344
Sm: 0.500 0.258 0.656
Tm: 0.000 0.008 0.500
Tm: 0.000 0.508 0.500

Values from the calculation:
- Crystal system: orthorhombic
- VASP energy: -55.3 eV for the cell shown
- E_form: 0.06 eV per atom

---

Record 4
An optimized crystal structure of Dy2ErIn9, computed with PBE-GGA.

Cell: 4.632 4.632 13.889 Å, 90.00 90.00 90.00°
Element x y z (fractional)
In: 0.500 0.500 0.333
In: 0.500 0.500 0.000
In: 0.000 0.500 0.834
In: 0.000 0.500 0.500
In: 0.500 0.500 0.667
In: 0.500 0.000 0.166
In: 0.500 0.000 0.834
In: 0.500 0.000 0.500
In: 0.000 0.500 0.166
Dy: 0.000 0.000 0.333
Dy: 0.000 0.000 0.667
Er: 0.000 0.000 0.000

Values from the calculation:
- Crystal system: tetragonal
- VASP energy: -43.3 eV for the cell shown
- E_form: -0.40 eV per atom

---

Record 5
An optimized crystal structure of TlSbP2Cl, computed with PBE-GGA.

Cell: 5.126 5.126 5.571 Å, 90.00 90.00 90.00°
Each line ends with the local moment (μB).
Element x y z (fractional)
Cl: 0.000 0.000 0.500  0.03
Tl: 0.500 0.500 0.500  0.01
Sb: 0.000 0.000 0.000  0.00
P: 0.500 0.000 0.000  0.17
P: 0.000 0.500 0.000  0.17

Values from the calculation:
- Crystal system: tetragonal
- VASP energy: -17.1 eV for the cell shown
- ΔE_f (raw): 2.0 eV per formula unit

---

Record 6
An optimized crystal structure of Ba5In2Ga, computed with PBE-GGA.

Cell: 6.041 7.680 14.564 Å, 90.00 90.00 90.00°
Element x y z (fractional)
Ba: 0.500 0.155 0.606
Ba: 0.000 0.155 0.287
Ba: 0.500 0.655 0.894
Ba: 0.000 0.500 0.500
Ba: 0.500 0.345 0.106
Ba: 0.500 0.845 0.394
Ba: 0.000 0.345 0.787
Ba: 0.000 0.845 0.713
Ba: 0.000 0.655 0.213
Ba: 0.000 0.000 0.000
In: 0.500 0.372 0.370
In: 0.500 0.872 0.130
In: 0.500 0.128 0.870
In: 0.500 0.628 0.630
Ga: 0.000 0.500 0.000
Ga: 0.000 0.000 0.500

Values from the calculation:
- Crystal system: orthorhombic
- VASP energy: -40.7 eV for the cell shown
- E_form: -0.28 eV per atom

---

Record 7
An optimized crystal structure of InGeIrO6, computed with PBE-GGA.

Cell: 5.128 5.128 9.184 Å, 90.00 90.00 120.00°
Each line ends with the local moment (μB).
Element x y z (fractional)
O: 0.354 0.362 0.863  0.13
O: 0.008 0.362 0.637  0.13
O: 0.638 0.646 0.637  0.13
O: 0.646 0.008 0.363  0.13
O: 0.362 0.008 0.137  0.13
O: 0.008 0.646 0.863  0.13
O: 0.992 0.354 0.137  0.13
O: 0.646 0.638 0.137  0.13
O: 0.354 0.992 0.637  0.13
O: 0.992 0.638 0.363  0.13
O: 0.638 0.992 0.863  0.13
O: 0.362 0.354 0.363  0.13
Ir: 0.333 0.667 0.250  1.01
Ir: 0.667 0.333 0.750  1.01
Ge: 0.333 0.667 0.750  0.01
Ge: 0.667 0.333 0.250  0.01
In: 0.000 0.000 0.500  0.00
In: 0.000 0.000 0.000  0.00

Values from the calculation:
- Crystal system: trigonal
- VASP energy: -113.7 eV for the cell shown
- ΔE_f (raw): -10.9 eV per formula unit

---

Record 8
An optimized crystal structure of Pm3Ho4Tm2, computed with PBE-GGA.

Cell: 5.028 7.957 7.956 Å, 107.47 108.42 90.00°
Element x y z (fractional)
Ho: 0.221 0.332 0.443
Ho: 0.779 0.668 0.557
Ho: 0.556 0.333 0.113
Ho: 0.444 0.667 0.887
Tm: 0.668 0.001 0.336
Tm: 0.332 0.999 0.664
Pm: 0.000 0.000 0.000
Pm: 0.889 0.334 0.777
Pm: 0.111 0.666 0.223

Values from the calculation:
- Crystal system: monoclinic
- VASP energy: -41.3 eV for the cell shown
- E_form: 0.02 eV per atom

---

Record 9
An optimized crystal structure of La6Co2HgBr3, computed with PBE-GGA.

Cell: 4.185 9.423 10.107 Å, 108.56 101.95 90.00°
Element x y z (fractional)
Co: 0.829 0.658 0.659
Co: 0.171 0.342 0.341
La: 0.313 0.434 0.627
La: 0.687 0.566 0.373
La: 0.033 0.268 0.066
La: 0.967 0.732 0.934
La: 0.334 0.868 0.668
La: 0.666 0.132 0.332
Br: 0.165 0.838 0.329
Br: 0.835 0.162 0.671
Br: 0.500 0.500 0.000
Hg: 0.500 0.000 0.000

Values from the calculation:
- Crystal system: monoclinic
- VASP energy: -59.0 eV for the cell shown
- ΔE_f (raw): -9.9 eV per formula unit

---

Record 10
An optimized crystal structure of MgPa2S6, computed with PBE-GGA.

Cell: 6.244 6.244 11.872 Å, 90.00 90.00 90.00°
Element x y z (fractional)
S: 0.303 0.303 0.337
S: 0.697 0.697 0.663
S: 0.803 0.197 0.163
S: 0.803 0.197 0.837
S: 0.191 0.809 0.500
S: 0.809 0.191 0.500
S: 0.197 0.803 0.837
S: 0.303 0.303 0.663
S: 0.197 0.803 0.163
S: 0.691 0.691 0.000
S: 0.697 0.697 0.337
S: 0.309 0.309 0.000
Pa: 0.000 0.000 0.671
Pa: 0.500 0.500 0.171
Pa: 0.000 0.000 0.329
Pa: 0.500 0.500 0.829
Mg: 0.000 0.000 0.000
Mg: 0.500 0.500 0.500

Values from the calculation:
- Crystal system: tetragonal
- VASP energy: -116.7 eV for the cell shown
- ΔE_f (raw): -13.0 eV per formula unit

---

Record 11
An optimized crystal structure of ScBe2Mo, computed with PBE-GGA.

Cell: 4.493 4.493 5.171 Å, 82.15 82.15 34.74°
Element x y z (fractional)
Mo: 0.750 0.750 0.750
Sc: 0.250 0.250 0.250
Be: 0.493 0.493 0.578
Be: 0.007 0.007 0.922

Values from the calculation:
- Crystal system: monoclinic
- VASP energy: -23.5 eV for the cell shown
- E_form: 0.27 eV per atom

---

Record 12
An optimized crystal structure of Ba2TlOs, computed with PBE-GGA.

Cell: 6.822 6.822 5.643 Å, 65.54 65.54 33.04°
Element x y z (fractional)
Tl: 0.811 0.811 0.688
Os: 0.476 0.476 0.524
Ba: 0.013 0.013 0.987
Ba: 0.199 0.199 0.300

Values from the calculation:
- Crystal system: orthorhombic
- VASP energy: -15.8 eV for the cell shown
- E_form: 0.41 eV per atom

---

Record 13
An optimized crystal structure of NdY2Hg3, computed with PBE-GGA.

Cell: 3.761 3.761 11.333 Å, 90.00 90.00 90.00°
Each line ends with the local moment (μB).
Element x y z (fractional)
Nd: 0.500 0.500 0.500  0.22
Y: 0.500 0.500 0.164  0.06
Y: 0.500 0.500 0.836  0.06
Hg: 0.000 0.000 0.000  0.01
Hg: 0.000 0.000 0.678  0.01
Hg: 0.000 0.000 0.322  0.01

Values from the calculation:
- Crystal system: tetragonal
- VASP energy: -21.6 eV for the cell shown
- E_form: -0.49 eV per atom

---

Record 14
An optimized crystal structure of Ba2Mg4SnHg3, computed with PBE-GGA.

Cell: 5.189 5.189 10.899 Å, 90.00 90.00 90.00°
Element x y z (fractional)
Hg: 0.000 0.000 0.500
Hg: 0.500 0.000 0.886
Hg: 0.000 0.500 0.114
Mg: 0.500 0.000 0.629
Mg: 0.500 0.500 0.000
Mg: 0.000 0.000 0.000
Mg: 0.000 0.500 0.371
Ba: 0.500 0.000 0.260
Ba: 0.000 0.500 0.740
Sn: 0.500 0.500 0.500

Values from the calculation:
- Crystal system: tetragonal
- VASP energy: -18.7 eV for the cell shown
- E_form: -0.36 eV per atom

---

Record 15
An optimized crystal structure of Pr6ZnSn2, computed with PBE-GGA.

Cell: 4.495 8.522 8.519 Å, 120.01 90.00 90.00°
Element x y z (fractional)
Zn: 0.500 0.000 0.000
Pr: 0.500 0.417 0.417
Pr: 0.000 0.248 0.000
Pr: 0.500 0.000 0.583
Pr: 0.000 0.752 0.752
Pr: 0.500 0.582 0.000
Pr: 0.000 0.000 0.248
Sn: 0.000 0.667 0.334
Sn: 0.000 0.333 0.666

Values from the calculation:
- Crystal system: hexagonal
- VASP energy: -41.8 eV for the cell shown
- E_form: -0.43 eV per atom

---

Record 16
An optimized crystal structure of BaNp6Se12, computed with PBE-GGA.

Cell: 8.901 8.901 8.901 Å, 109.47 109.47 109.47°
Each line ends with the local moment (μB).
Element x y z (fractional)
Np: 0.640 0.500 0.140  3.57
Np: 0.360 0.500 0.860  3.57
Np: 0.860 0.360 0.500  3.57
Np: 0.500 0.860 0.360  3.57
Np: 0.140 0.640 0.500  3.57
Np: 0.500 0.140 0.640  3.57
Se: 0.833 0.685 0.518  -0.13
Se: 0.315 0.482 0.167  -0.13
Se: 0.315 0.149 0.833  -0.13
Se: 0.149 0.833 0.315  -0.13
Se: 0.851 0.167 0.685  -0.13
Se: 0.685 0.851 0.167  -0.13
Se: 0.482 0.167 0.315  -0.13
Se: 0.685 0.518 0.833  -0.13
Se: 0.518 0.833 0.685  -0.13
Se: 0.167 0.685 0.851  -0.13
Se: 0.167 0.315 0.482  -0.13
Se: 0.833 0.315 0.149  -0.13
Ba: 0.000 0.000 0.000  0.00

Values from the calculation:
- Crystal system: cubic
- VASP energy: -141.5 eV for the cell shown
- ΔE_f (raw): -20.1 eV per formula unit

---

Record 17
An optimized crystal structure of YBe2Br, computed with PBE-GGA.

Cell: 3.858 3.858 6.501 Å, 90.37 90.37 58.01°
Element x y z (fractional)
Be: 0.631 0.631 0.891
Be: 0.956 0.956 0.927
Br: 0.622 0.622 0.493
Y: 0.292 0.292 0.189

Values from the calculation:
- Crystal system: monoclinic
- VASP energy: -16.3 eV for the cell shown
- ΔE_f (raw): -0.7 eV per formula unit

---

Record 18
An optimized crystal structure of B2OF, computed with PBE-GGA.

Cell: 3.660 3.660 3.660 Å, 60.00 60.00 60.00°
Element x y z (fractional)
F: 0.500 0.500 0.500
B: 0.750 0.750 0.750
B: 0.250 0.250 0.250
O: 0.000 0.000 0.000

Values from the calculation:
- Crystal system: cubic
- VASP energy: -14.7 eV for the cell shown
- ΔE_f (raw): 5.5 eV per formula unit

---

Record 19
An optimized crystal structure of HoPb6S8, computed with PBE-GGA.

Cell: 7.824 7.824 7.824 Å, 72.21 72.21 72.21°
Element x y z (fractional)
S: 0.913 0.166 0.666
S: 0.682 0.682 0.682
S: 0.334 0.087 0.834
S: 0.166 0.666 0.913
S: 0.834 0.334 0.087
S: 0.318 0.318 0.318
S: 0.087 0.834 0.334
S: 0.666 0.913 0.166
Pb: 0.974 0.520 0.267
Pb: 0.520 0.267 0.974
Pb: 0.480 0.733 0.026
Pb: 0.026 0.480 0.733
Pb: 0.733 0.026 0.480
Pb: 0.267 0.974 0.520
Ho: 0.000 0.000 0.000

Values from the calculation:
- Crystal system: trigonal
- VASP energy: -69.8 eV for the cell shown
- ΔE_f (raw): -9.9 eV per formula unit

---

Record 20
An optimized crystal structure of CdCuW, computed with PBE-GGA.

Cell: 6.604 6.604 2.756 Å, 77.96 77.95 24.09°
Element x y z (fractional)
W: 0.679 0.679 0.321
Cd: 0.994 0.994 0.006
Cu: 0.328 0.328 0.672

Values from the calculation:
- Crystal system: tetragonal
- VASP energy: -16.8 eV for the cell shown
- E_form: 0.39 eV per atom

---

Number 1: ρ 8.108 g cm⁻³. Number 2: ρ 7.105 g cm⁻³. Number 3: ρ 7.671 g cm⁻³. Number 4: ρ 8.503 g cm⁻³. Number 5: ρ 4.805 g cm⁻³. Number 6: ρ 4.846 g cm⁻³. Number 7: ρ 7.554 g cm⁻³. Number 8: ρ 8.303 g cm⁻³. Number 9: ρ 6.267 g cm⁻³. Number 10: ρ 4.870 g cm⁻³. Number 11: ρ 4.482 g cm⁻³. Number 12: ρ 8.605 g cm⁻³. Number 13: ρ 9.571 g cm⁻³. Number 14: ρ 6.180 g cm⁻³. Number 15: ρ 6.747 g cm⁻³. Number 16: ρ 7.667 g cm⁻³. Number 17: ρ 3.780 g cm⁻³. Number 18: ρ 2.711 g cm⁻³. Number 19: ρ 6.546 g cm⁻³. Number 20: ρ 12.463 g cm⁻³.